# Nd5Sm4Ag GGA-PBE relaxed
# E_form (meV per atom): -34
# DOS(E_F) (states/eV per cell): 13.7
data_Nd5Sm4Ag
_symmetry_space_group_name_H-M 'P 1'
_symmetry_Int_Tables_number 1
_cell_length_a 3.671
_cell_length_b 3.671
_cell_length_c 24.563
_cell_angle_alpha 90.00
_cell_angle_beta 90.00
_cell_angle_gamma 90.00
loop_
_symmetry_equiv_pos_as_xyz
'x,y,z'
loop_
_atom_site_label
_atom_site_type_symbol
_atom_site_fract_x
_atom_site_fract_y
_atom_site_fract_z
Sm1 Sm 0.000 0.000 0.395
Sm2 Sm 0.000 0.000 0.814
Sm3 Sm 0.000 0.000 0.186
Sm4 Sm 0.000 0.000 0.605
Nd1 Nd 0.500 0.500 0.290
Nd2 Nd 0.500 0.500 0.500
Nd3 Nd 0.500 0.500 0.710
Nd4 Nd 0.500 0.500 0.080
Nd5 Nd 0.500 0.500 0.920
Ag1 Ag 0.000 0.000 0.000

# NbVN GGA-PBE relaxed
# DOS(E_F) (states/eV per cell): 9.1
# Raw formation energy (eV/atom): -0.560
data_NbVN
_symmetry_space_group_name_H-M 'P 1'
_symmetry_Int_Tables_number 1
_cell_length_a 2.909
_cell_length_b 5.067
_cell_length_c 10.633
_cell_angle_alpha 90.00
_cell_angle_beta 90.00
_cell_angle_gamma 90.00
loop_
_symmetry_equiv_pos_as_xyz
'x,y,z'
loop_
_atom_site_label
_atom_site_type_symbol
_atom_site_fract_x
_atom_site_fract_y
_atom_site_fract_z
N1 N 0.000 0.083 0.627
N2 N 0.500 0.417 0.127
N3 N 0.500 0.583 0.873
N4 N 0.000 0.917 0.373
V1 V 0.000 0.252 0.465
V2 V 0.500 0.248 0.965
V3 V 0.500 0.752 0.035
V4 V 0.000 0.748 0.535
Nb1 Nb 0.500 0.371 0.701
Nb2 Nb 0.500 0.629 0.299
Nb3 Nb 0.000 0.871 0.799
Nb4 Nb 0.000 0.129 0.201

# SiP2BrCl GGA-PBE relaxed
# DOS(E_F) (states/eV per cell): 4.0
# Raw formation energy (eV/atom): 0.560
data_SiP2BrCl
_symmetry_space_group_name_H-M 'P 1'
_symmetry_Int_Tables_number 1
_cell_length_a 4.692
_cell_length_b 4.692
_cell_length_c 4.621
_cell_angle_alpha 90.00
_cell_angle_beta 90.00
_cell_angle_gamma 90.00
loop_
_symmetry_equiv_pos_as_xyz
'x,y,z'
loop_
_atom_site_label
_atom_site_type_symbol
_atom_site_fract_x
_atom_site_fract_y
_atom_site_fract_z
Si1 Si 0.000 0.000 0.000
Cl1 Cl 0.000 0.000 0.500
P1 P 0.500 0.000 0.000
P2 P 0.000 0.500 0.000
Br1 Br 0.500 0.500 0.500

no.,raw total energy (eV per atom)
1,-4.591
2,-9.731
3,-3.392